[1]
Entry from Alexandria: a relaxed GaFe2ReH crystal (GGA-PBE).

The structure in POSCAR format:
```
GaFe2ReH
1.0
4.580 0.000 0.000
0.000 3.278 0.000
0.000 0.000 4.580
Fe Ga H Re
2 1 1 1
Direct
0.500 0.000 0.000
0.000 0.000 0.500
0.500 0.500 0.500
0.000 0.500 0.000
0.000 0.000 0.000
```

Values from the calculation:
The raw total energy is -6.167 eV/atom. As for the space group: P4/mmm. Its energy relative to the lowest polymorph listed for this composition is 85.8 kJ/mol of atoms. The value obtained for the density of states at the Fermi level is 5.527 states/eV per cell. Its crystal system is tetragonal. The total magnetic moment is 2.70 μB per formula unit.

[2]
Entry from Alexandria: a relaxed Er7Cu2Te2 crystal (GGA-PBE).

The structure in POSCAR format:
```
Er7Cu2Te2
1.0
3.851 0.000 0.826
1.054 8.045 4.477
0.027 -0.155 9.266
Er Te Cu
7 2 2
Direct
0.143 0.114 0.600
0.500 0.019 0.981
0.186 0.715 0.914
0.857 0.400 0.886
0.630 0.476 0.264
0.370 0.736 0.524
0.814 0.086 0.285
0.500 0.360 0.640
0.000 0.756 0.244
0.736 0.860 0.668
0.264 0.332 0.140
```

Values from the calculation:
The raw total energy is -4.793 eV/atom. As for the space group: Imm2. Its energy relative to the lowest polymorph listed for this composition is 0.0 kJ/mol of atoms. The value obtained for the density of states at the Fermi level is 11.127 states/eV per cell. Its crystal system is orthorhombic. The total magnetic moment is 0.00 μB per formula unit. As for the uncorrected formation energy: -574 meV/atom.

[3]
Entry from Alexandria: a relaxed TlBAs2Se crystal (GGA-PBE).

The structure in POSCAR format:
```
TlBAs2Se
1.0
-2.930 0.877 3.371
-0.827 -4.454 0.440
3.569 -0.347 3.192
B Tl Se As
1 1 1 2
Direct
0.000 0.000 0.000
0.500 0.500 0.500
0.000 0.000 0.500
0.000 0.500 0.000
0.500 0.000 0.000
```

Values from the calculation:
The raw total energy is -3.729 eV/atom. As for the space group: P4/mmm. Its energy relative to the lowest polymorph listed for this composition is 0.0 kJ/mol of atoms. The value obtained for the density of states at the Fermi level is 3.155 states/eV per cell. Its crystal system is tetragonal. The total magnetic moment is 0.00 μB per formula unit. As for the uncorrected formation energy: 636 meV/atom.

[4]
Entry from Alexandria: a relaxed Ga8PdAu2 crystal (GGA-PBE).

The structure in POSCAR format:
```
Ga8PdAu2
1.0
-2.127 -2.164 2.599
1.707 -4.575 -2.413
7.649 2.902 5.605
Ga Au Pd
8 2 1
Direct
0.971 0.256 0.942
0.029 0.744 0.058
0.225 0.267 0.449
0.639 0.983 0.279
0.361 0.017 0.721
0.775 0.733 0.551
0.596 0.422 0.192
0.404 0.578 0.808
0.827 0.319 0.655
0.173 0.681 0.345
0.500 0.000 0.000
```

Values from the calculation:
The raw total energy is -3.470 eV/atom. As for the space group: C2/m. Its energy relative to the lowest polymorph listed for this composition is 0.0 kJ/mol of atoms. The value obtained for the density of states at the Fermi level is 2.965 states/eV per cell. Its crystal system is monoclinic. The total magnetic moment is 0.00 μB per formula unit.

[5]
Entry from Alexandria: a relaxed Pm3InCo3 crystal (GGA-PBE).

The structure in POSCAR format:
```
Pm3InCo3
1.0
3.839 0.000 0.000
0.000 8.633 -4.984
0.000 0.000 9.968
Co Pm In
6 6 2
Direct
0.250 0.977 0.847
0.750 0.847 0.870
0.250 0.870 0.023
0.750 0.023 0.153
0.750 0.130 0.977
0.250 0.153 0.130
0.250 0.624 0.688
0.250 0.063 0.376
0.750 0.937 0.624
0.750 0.688 0.063
0.750 0.376 0.312
0.250 0.312 0.937
0.250 0.667 0.333
0.750 0.333 0.667
```

Values from the calculation:
The raw total energy is -5.618 eV/atom. As for the space group: P6_3/m. The value obtained for the density of states at the Fermi level is 20.982 states/eV per cell. Its crystal system is hexagonal. The total magnetic moment is 2.53 μB per formula unit.

[6]
Entry from Alexandria: a relaxed PmPrTm2Se4 crystal (GGA-PBE).

The structure in POSCAR format:
```
PmPrTm2Se4
1.0
4.037 0.000 0.000
0.000 7.374 -0.278
0.000 2.463 6.581
Tm Se Pr Pm
2 4 1 1
Direct
0.500 0.000 0.500
0.000 0.000 0.000
0.000 0.228 0.260
0.500 0.770 0.245
0.000 0.772 0.740
0.500 0.230 0.755
0.500 0.500 0.000
0.000 0.500 0.500
```

Values from the calculation:
The raw total energy is -5.812 eV/atom. As for the space group: P2/m. The value obtained for the density of states at the Fermi level is 3.355 states/eV per cell. Its crystal system is monoclinic. The total magnetic moment is 0.00 μB per formula unit. As for the uncorrected formation energy: -1761 meV/atom.